[1]
{
  "formula": "Er2SeO2",
  "functional": "PBE",
  "state": "relaxed",
  "e_tot_ev_per_atom": -7.643,
  "magnetic_moment_mub_per_atom": 0.00,
  "formation_energy_uncorrected_ev_per_atom": -3.14,
  "dos_at_fermi_per_ev_fu": 0.00,
  "lattice_angstrom": [[-1.6475, -2.4627, -2.3906], [0.8446, -1.0722, 3.5540], [-6.1112, 2.0719, 2.0774]],
  "species": ["Er", "Er", "O", "O", "Se"],
  "fractional_positions": [[0.3333, 0.6667, 0.2916], [0.6667, 0.3333, 0.7084], [0.3333, 0.6667, 0.6257], [0.6667, 0.3333, 0.3743], [0.0000, 0.0000, 0.0000]]
}



[2]
{
  "formula": "Er4Se5O",
  "functional": "PBE",
  "state": "relaxed",
  "e_tot_ev_per_atom": -6.015,
  "magnetic_moment_mub_per_atom": 0.00,
  "formation_energy_uncorrected_ev_per_atom": -1.95,
  "lattice_angstrom": [[3.7562, 0.0000, 0.0000], [0.0000, 7.2781, -1.1727], [-1.8781, -2.2319, 9.3354]],
  "species": ["Se", "Se", "Se", "Se", "Se", "Er", "Er", "Er", "Er", "O"],
  "fractional_positions": [[0.1593, 0.9131, 0.3187], [0.8407, 0.0869, 0.6813], [0.8407, 0.5946, 0.6814], [0.5000, 0.5000, 0.0000], [0.1593, 0.4054, 0.3186], [0.0000, 0.7816, 0.0000], [0.2809, 0.7809, 0.5617], [0.7191, 0.2191, 0.4383], [0.0000, 0.2184, 0.0000], [0.5000, 0.0000, 0.0000]]
}